Entry 1:
Entry from Alexandria via LeMat-Bulk: a relaxed PrDyCdPd crystal (PBE).

```
4
Lattice="-4.087 2.342 2.272 -4.035 -2.857 1.704 -0.817 -0.569 5.134" Properties=species:S:1:pos:R:3 pbc="T T T"
Pr 0.000 0.000 0.000
Cd -6.704 -0.813 6.833
Pd -2.235 -0.271 2.278
Dy -4.470 -0.542 4.555
```

Calculated values
**Total DFT energy (no corrections)**: -17.45 eV per cell
**Volume**: 25.28 Å³ per atom
**Energy of formation from the pure elements**: -1.96 eV/f.u.

Entry 2:
Entry from Alexandria via LeMat-Bulk: a relaxed NdTcNiP2 crystal (PBE).

```
5
Lattice="3.847 0.000 0.000 0.000 3.847 0.000 -1.923 -1.923 5.712" Properties=species:S:1:pos:R:3 pbc="T T T"
Nd 0.000 0.000 0.000
Tc 0.000 1.923 2.856
Ni 1.923 0.000 2.856
P 1.923 1.923 1.567
P 0.000 0.000 4.146
```

Calculated values
**Total DFT energy (no corrections)**: -36.29 eV per cell
**Volume**: 16.90 Å³ per atom
**Energy of formation from the pure elements**: -4.55 eV/f.u.

Entry 3:
Entry from Alexandria via LeMat-Bulk: a relaxed Fe2IrW crystal (PBE).

```
4
Lattice="-4.539 -0.887 -0.056 -3.660 -1.404 2.455 -1.573 4.038 1.381" Properties=species:S:1:pos:R:3 pbc="T T T"
Fe -1.591 3.972 1.374
Fe -7.352 1.337 2.848
Ir -4.857 0.912 1.888
W -2.432 0.439 0.941
```

Calculated values
**Total DFT energy (no corrections)**: -38.61 eV per cell
**Volume**: 13.42 Å³ per atom
**Energy of formation from the pure elements**: 0.13 eV/f.u.

Entry 4:
Entry from Alexandria via LeMat-Bulk: a relaxed PaTi2 crystal (PBE).

```
3
Lattice="-0.767 0.257 -3.275 -0.522 -3.330 -0.139 -4.195 2.245 2.897" Properties=species:S:1:pos:R:3 pbc="T T T"
Pa 0.000 0.000 0.000
Ti -2.234 -1.303 -1.317
Ti -3.251 0.476 0.799
```

Calculated values
**Total DFT energy (no corrections)**: -24.94 eV per cell
**Volume**: 19.10 Å³ per atom
**Energy of formation from the pure elements**: 0.34 eV/f.u.

Entry 5:
Entry from Alexandria via LeMat-Bulk: a relaxed RbLaTaGeTe crystal (PBE).

```
5
Lattice="5.087 0.000 0.000 0.000 3.943 0.000 0.000 0.000 8.265" Properties=species:S:1:pos:R:3 pbc="T T T"
Rb 2.543 0.000 0.464
La 2.543 1.972 4.379
Ta 0.000 0.000 4.302
Ge 0.000 1.972 2.573
Te 0.000 1.972 6.519
```

Calculated values
**Total DFT energy (no corrections)**: -26.79 eV per cell
**Volume**: 33.15 Å³ per atom
**Energy relative to the elements, uncorrected**: -256 meV/atom

Entry 6:
Entry from Alexandria via LeMat-Bulk: a relaxed K2SrBr crystal (PBE).

```
4
Lattice="8.011 0.051 -0.013 3.378 7.264 0.013 -4.505 -5.511 3.677" Properties=species:S:1:pos:R:3 pbc="T T T"
Br 2.426 2.796 1.845
K 0.700 0.449 0.000
K 4.511 -0.959 1.832
Sr 4.944 3.176 0.000
```

Calculated values
**Total DFT energy (no corrections)**: -8.26 eV per cell
**Volume**: 53.44 Å³ per atom
**Energy relative to the elements, uncorrected**: -677 meV/atom

Entry 7:
Entry from Alexandria via LeMat-Bulk: a relaxed KSr6 crystal (PBE).

```
7
Lattice="9.738 0.000 0.000 -3.246 9.181 0.000 -3.246 -4.590 7.951" Properties=species:S:1:pos:R:3 pbc="T T T"
K 0.000 0.000 0.000
Sr -1.623 4.590 3.975
Sr 1.623 5.738 1.988
Sr -1.623 1.148 5.963
Sr 4.869 0.000 3.975
Sr 1.623 -1.148 5.963
Sr 4.869 3.443 1.988
```

Calculated values
**Total DFT energy (no corrections)**: -5.66 eV per cell
**Volume**: 101.54 Å³ per atom
**Energy of formation from the pure elements**: 5.53 eV/f.u.

Entry 8:
Entry from Alexandria via LeMat-Bulk: a relaxed Sm6AgPd5 crystal (PBE).

```
12
Lattice="0.639 5.057 -0.151 0.461 0.157 7.187 8.110 1.597 3.055" Properties=species:S:1:pos:R:3 pbc="T T T"
Pd 5.984 4.449 3.129
Pd 3.085 2.269 3.363
Pd 0.230 0.078 3.593
Pd 6.124 4.541 6.727
Pd 3.225 2.362 6.962
Ag 0.000 0.000 0.000
Sm 3.548 4.831 5.055
Sm 3.321 4.754 1.515
Sm 8.771 4.242 8.317
Sm 0.438 2.569 1.774
Sm 5.888 2.057 8.576
Sm 5.661 1.980 5.036
```

Calculated values
**Total DFT energy (no corrections)**: -65.50 eV per cell
**Volume**: 23.39 Å³ per atom
**Energy of formation from the pure elements**: -8.37 eV/f.u.

Entry 9:
Entry from Alexandria via LeMat-Bulk: a relaxed MgRuAu2 crystal (PBE).

```
4
Lattice="4.968 -0.021 0.022 4.097 2.809 0.022 0.929 0.286 4.778" Properties=species:S:1:pos:R:3 pbc="T T T"
Au 9.044 2.782 0.134
Au 7.511 2.310 3.554
Mg 5.024 1.545 2.425
Ru 2.476 0.762 1.166
```

Calculated values
**Total DFT energy (no corrections)**: -17.44 eV per cell
**Volume**: 16.75 Å³ per atom
**Energy of formation from the pure elements**: -0.01 eV/f.u.

Entry 10:
Entry from Alexandria via LeMat-Bulk: a relaxed NaZrBr5 crystal (PBE).

```
7
Lattice="-0.143 4.958 2.092 -6.076 0.850 4.497 2.380 -0.057 7.224" Properties=species:S:1:pos:R:3 pbc="T T T"
Na -0.001 0.019 0.008
Zr -1.920 2.898 6.916
Br -1.087 3.875 4.659
Br -1.848 0.419 5.870
Br -2.753 1.922 9.173
Br 0.579 2.628 7.721
Br -4.419 3.164 6.109
```

Calculated values
**Total DFT energy (no corrections)**: -27.66 eV per cell
**Volume**: 38.03 Å³ per atom
**Energy relative to the elements, uncorrected**: -1347 meV/atom

Entry 11:
Entry from Alexandria via LeMat-Bulk: a relaxed Ta8Mo crystal (PBE).

```
9
Lattice="-4.146 4.146 2.391 4.146 -4.146 2.391 4.146 4.146 -2.391" Properties=species:S:1:pos:R:3 pbc="T T T"
Ta 2.769 2.769 0.000
Ta 1.378 1.378 2.391
Ta 0.000 5.563 0.000
Ta 1.378 -1.378 2.391
Ta 2.730 0.000 0.000
Ta -1.378 1.378 2.391
Ta 0.000 2.730 0.000
Ta 5.563 0.000 0.000
Mo 0.000 0.000 0.000
```

Calculated values
**Total DFT energy (no corrections)**: -104.29 eV per cell
**Volume**: 18.27 Å³ per atom
**Energy of formation from the pure elements**: 1.36 eV/f.u.

Entry 12:
Entry from Alexandria via LeMat-Bulk: a relaxed Zr4MoPt crystal (PBE).

```
6
Lattice="0.000 3.936 3.936 3.936 0.000 3.936 3.936 3.936 0.000" Properties=species:S:1:pos:R:3 pbc="T T T"
Zr 2.954 4.918 4.918
Zr 4.918 4.918 2.954
Zr 4.918 2.954 4.918
Zr 2.954 2.954 2.954
Mo 5.904 5.904 5.904
Pt 0.000 0.000 0.000
```

Calculated values
**Total DFT energy (no corrections)**: -48.48 eV per cell
**Volume**: 20.33 Å³ per atom
**Energy of formation from the pure elements**: 2.59 eV/f.u.

Entry 13:
Entry from Alexandria via LeMat-Bulk: a relaxed Li4SiIr crystal (PBE).

```
12
Lattice="4.388 -0.002 0.000 0.001 4.482 1.625 -0.001 -0.370 8.016" Properties=species:S:1:pos:R:3 pbc="T T T"
Li 1.098 3.350 4.605
Li 1.098 4.249 2.210
Li 3.292 2.910 5.816
Li 3.291 2.066 8.231
Li 3.290 0.761 5.036
Li 1.096 1.200 3.826
Li 3.290 -0.139 7.432
Li 1.097 2.045 1.411
Si 3.291 0.473 2.191
Si 1.097 3.638 7.451
Ir 3.291 2.700 3.042
Ir 1.097 1.411 6.600
```

Calculated values
**Total DFT energy (no corrections)**: -47.94 eV per cell
**Volume**: 13.36 Å³ per atom
**Energy relative to the elements, uncorrected**: -339 meV/atom

Entry 14:
Entry from Alexandria via LeMat-Bulk: a relaxed La7Sn2Ru2 crystal (PBE).

```
11
Lattice="4.385 0.000 0.940 1.371 8.159 4.299 0.297 -0.421 9.309" Properties=species:S:1:pos:R:3 pbc="T T T"
La 3.774 0.152 3.790
La 4.672 3.056 10.295
La 2.504 -0.300 9.709
La 3.415 4.011 5.463
La 2.868 5.567 8.011
La 1.986 5.244 12.126
La 0.943 1.187 6.294
Sn 4.564 6.619 10.797
Sn 1.652 2.424 2.989
Ru 1.165 6.515 5.259
Ru 2.860 2.540 8.050
```

Calculated values
**Total DFT energy (no corrections)**: -65.84 eV per cell
**Volume**: 30.74 Å³ per atom
**Energy of formation from the pure elements**: -4.79 eV/f.u.

Entry 15:
Entry from Alexandria via LeMat-Bulk: a relaxed KCr2Si crystal (PBE).

```
4
Lattice="10.081 0.002 0.001 9.719 2.678 0.001 9.719 1.315 2.332" Properties=species:S:1:pos:R:3 pbc="T T T"
Cr 0.508 0.069 0.040
Cr 14.251 1.929 1.127
K 7.379 0.999 0.584
Si 22.138 2.996 1.751
```

Calculated values
**Total DFT energy (no corrections)**: -22.09 eV per cell
**Volume**: 15.72 Å³ per atom
**Energy relative to the elements, uncorrected**: 918 meV/atom

Entry 16:
Entry from Alexandria via LeMat-Bulk: a relaxed Hf2HgB2 crystal (PBE).

```
10
Lattice="-5.574 0.442 3.139 1.493 -5.235 3.390 1.522 2.002 2.421" Properties=species:S:1:pos:R:3 pbc="T T T"
B -0.909 -4.561 4.343
B -4.161 -2.710 4.857
B -3.172 -0.231 2.185
B 0.080 -2.082 1.671
Hf 0.790 -2.458 4.052
Hf -1.775 -3.015 6.125
Hf -3.350 -0.332 4.897
Hf -0.784 0.225 2.824
Hg 0.000 0.000 0.000
Hg -2.041 -2.396 3.264
```

Calculated values
**Total DFT energy (no corrections)**: -70.61 eV per cell
**Volume**: 14.35 Å³ per atom
**Energy of formation from the pure elements**: -1.74 eV/f.u.

Entry 17:
Entry from Alexandria via LeMat-Bulk: a relaxed Cs2AsSe4 crystal (PBE).

```
14
Lattice="6.370 0.000 0.000 0.000 7.526 -0.789 0.000 0.007 13.306" Properties=species:S:1:pos:R:3 pbc="T T T"
Cs 1.592 1.835 12.170
Cs 4.777 5.698 0.347
Cs 4.777 5.874 6.952
Cs 1.592 1.659 5.566
As 1.592 5.329 9.466
As 4.777 2.204 3.051
Se 2.784 3.020 8.866
Se 1.592 5.663 11.771
Se 4.777 1.870 0.746
Se 0.401 3.020 8.866
Se 4.777 0.142 4.295
Se 5.969 4.513 3.651
Se 3.586 4.513 3.651
Se 1.592 7.391 8.222
```

Calculated values
**Total DFT energy (no corrections)**: -48.54 eV per cell
**Volume**: 45.56 Å³ per atom
**Energy relative to the elements, uncorrected**: -568 meV/atom